[1]
A plane-wave DFT calculation with GGA-PBE was carried out for an optimized crystal structure of YSc6Se8.

Cell and atoms, written as CIF:
```
data_YSc6Se8
_cell_length_a 10.960
_cell_length_b 10.960
_cell_length_c 10.960
_cell_angle_alpha 90.00
_cell_angle_beta 90.00
_cell_angle_gamma 90.00
_symmetry_space_group_name_H-M 'F m -3 m'
_symmetry_Int_Tables_number 225
_symmetry_space_group_name_Hall '-F 4 2 3'
loop_
_atom_site_label
_atom_site_type_symbol
_atom_site_fract_x
_atom_site_fract_y
_atom_site_fract_z
Y1 Y 0.000 0.000 0.000
Sc1 Sc 0.000 0.250 0.250
Se1 Se 0.000 0.000 0.261
Se2 Se 0.250 0.250 0.250
```

**Electronic total energy**: -0.4786 Ry/atom
**Formation energy from raw total energies**: -2444.6 kJ/mol of formula units
**Magnetization**: 0.000 μB per atom

***

[2]
A plane-wave DFT calculation with GGA-PBE was carried out for an optimized crystal structure of Y4ScSe5.

Cell and atoms, written as CIF:
```
data_Y4ScSe5
_cell_length_a 9.039
_cell_length_b 9.039
_cell_length_c 5.744
_cell_angle_alpha 90.00
_cell_angle_beta 90.00
_cell_angle_gamma 90.00
_symmetry_space_group_name_H-M 'I 4/m'
_symmetry_Int_Tables_number 87
_symmetry_space_group_name_Hall '-I 4'
loop_
_atom_site_label
_atom_site_type_symbol
_atom_site_fract_x
_atom_site_fract_y
_atom_site_fract_z
Y1 Y 0.095 0.696 0.000
Sc1 Sc 0.000 0.000 0.500
Se1 Se 0.000 0.000 0.000
Se2 Se 0.100 0.711 0.500
```

**Electronic total energy**: -0.4911 Ry/atom
**Formation energy from raw total energies**: -1660.8 kJ/mol of formula units
**Magnetization**: 0.000 μB per atom

***

[3]
A plane-wave DFT calculation with GGA-PBE was carried out for an optimized crystal structure of Y2ScSe.

Cell and atoms, written as CIF:
```
data_Y2ScSe
_cell_length_a 4.374
_cell_length_b 4.374
_cell_length_c 10.624
_cell_angle_alpha 90.00
_cell_angle_beta 90.00
_cell_angle_gamma 90.00
_symmetry_space_group_name_H-M 'I -4 m 2'
_symmetry_Int_Tables_number 119
_symmetry_space_group_name_Hall 'I -4 -2'
loop_
_atom_site_label
_atom_site_type_symbol
_atom_site_fract_x
_atom_site_fract_y
_atom_site_fract_z
Y1 Y 0.000 0.000 0.000
Y2 Y 0.000 0.500 0.250
Sc1 Sc 0.000 0.500 0.750
Se1 Se 0.000 0.000 0.500
```

**Electronic total energy**: -0.4472 Ry/atom
**Formation energy from raw total energies**: -153.9 kJ/mol of formula units
**Magnetization**: 0.140 μB per atom

***

[4]
A plane-wave DFT calculation with GGA-PBE was carried out for an optimized crystal structure of Y4Sc3Se8.

Cell and atoms, written as CIF:
```
data_Y4Sc3Se8
_cell_length_a 11.261
_cell_length_b 11.268
_cell_length_c 7.938
_cell_angle_alpha 90.00
_cell_angle_beta 134.78
_cell_angle_gamma 90.00
_symmetry_space_group_name_H-M 'C 1 2/m 1'
_symmetry_Int_Tables_number 12
loop_
_symmetry_equiv_pos_as_xyz
'x,y,z'
'-x,-y,-z'
'-x,y,-z'
'x,-y,z'
'x+1/2,y+1/2,z'
'-x+1/2,-y+1/2,-z'
'-x+1/2,y+1/2,-z'
'x+1/2,-y+1/2,z'
loop_
_atom_site_label
_atom_site_type_symbol
_atom_site_fract_x
_atom_site_fract_y
_atom_site_fract_z
Y1 Y 0.000 0.000 0.000
Y2 Y 0.000 0.500 0.500
Y3 Y 0.250 0.250 0.000
Sc1 Sc 0.000 0.000 0.500
Sc2 Sc 0.250 0.250 0.500
Se1 Se 0.000 0.245 0.500
Se2 Se 0.000 0.257 0.000
Se3 Se 0.248 0.500 0.010
Se4 Se 0.249 0.500 0.487
```

**Electronic total energy**: -0.4851 Ry/atom
**Formation energy from raw total energies**: -2535.7 kJ/mol of formula units
**Magnetization**: 0.000 μB per atom

***

[5]
A plane-wave DFT calculation with GGA-PBE was carried out for an optimized crystal structure of YSc2Se4.

Cell and atoms, written as CIF:
```
data_YSc2Se4
_cell_length_a 6.691
_cell_length_b 3.923
_cell_length_c 6.898
_cell_angle_alpha 90.00
_cell_angle_beta 107.87
_cell_angle_gamma 90.00
_symmetry_space_group_name_H-M 'P 1 2/m 1'
_symmetry_Int_Tables_number 10
loop_
_symmetry_equiv_pos_as_xyz
'x,y,z'
'-x,-y,-z'
'-x,y,-z'
'x,-y,z'
loop_
_atom_site_label
_atom_site_type_symbol
_atom_site_fract_x
_atom_site_fract_y
_atom_site_fract_z
Y1 Y 0.000 0.000 0.000
Sc1 Sc 0.000 0.500 0.500
Sc2 Sc 0.500 0.000 0.500
Se1 Se 0.245 0.000 0.733
Se2 Se 0.263 0.500 0.258
```

**Electronic total energy**: -0.4779 Ry/atom
**Formation energy from raw total energies**: -1201.7 kJ/mol of formula units
**Magnetization**: 0.000 μB per atom

***

[6]
A plane-wave DFT calculation with GGA-PBE was carried out for an optimized crystal structure of YSc2Se4.

Cell and atoms, written as CIF:
```
data_YSc2Se4
_cell_length_a 3.863
_cell_length_b 12.771
_cell_length_c 13.360
_cell_angle_alpha 90.00
_cell_angle_beta 90.00
_cell_angle_gamma 90.00
_symmetry_space_group_name_H-M 'C m c m'
_symmetry_Int_Tables_number 63
_symmetry_space_group_name_Hall '-C 2c 2'
loop_
_atom_site_label
_atom_site_type_symbol
_atom_site_fract_x
_atom_site_fract_y
_atom_site_fract_z
Y1 Y 0.000 0.124 0.250
Sc1 Sc 0.000 0.372 0.066
Se1 Se 0.000 0.000 0.000
Se2 Se 0.000 0.273 0.618
Se3 Se 0.000 0.458 0.250
```

**Electronic total energy**: -0.4754 Ry/atom
**Formation energy from raw total energies**: -1178.5 kJ/mol of formula units
**Magnetization**: 0.000 μB per atom

***

[7]
A plane-wave DFT calculation with GGA-PBE was carried out for an optimized crystal structure of Y2ScSe.

Cell and atoms, written as CIF:
```
data_Y2ScSe
_cell_length_a 3.575
_cell_length_b 3.575
_cell_length_c 8.032
_cell_angle_alpha 90.00
_cell_angle_beta 90.00
_cell_angle_gamma 90.00
_symmetry_space_group_name_H-M 'P 4 m m'
_symmetry_Int_Tables_number 99
loop_
_symmetry_equiv_pos_as_xyz
'x,y,z'
'-y,x,z'
'-x,-y,z'
'y,-x,z'
'-x,y,z'
'y,x,z'
'x,-y,z'
'-y,-x,z'
loop_
_atom_site_label
_atom_site_type_symbol
_atom_site_fract_x
_atom_site_fract_y
_atom_site_fract_z
Y1 Y 0.000 0.000 0.000
Y2 Y 0.500 0.500 0.313
Sc1 Sc 0.000 0.000 0.584
Se1 Se 0.500 0.500 0.746
```

**Electronic total energy**: -0.4671 Ry/atom
**Formation energy from raw total energies**: -258.4 kJ/mol of formula units
**Magnetization**: 0.000 μB per atom

***

[8]
A plane-wave DFT calculation with GGA-PBE was carried out for an optimized crystal structure of YScSe.

Cell and atoms, written as CIF:
```
data_YScSe
_cell_length_a 6.644
_cell_length_b 6.644
_cell_length_c 6.644
_cell_angle_alpha 90.00
_cell_angle_beta 90.00
_cell_angle_gamma 90.00
_symmetry_space_group_name_H-M 'F -4 3 m'
_symmetry_Int_Tables_number 216
_symmetry_space_group_name_Hall 'F -4 2 3'
loop_
_atom_site_label
_atom_site_type_symbol
_atom_site_fract_x
_atom_site_fract_y
_atom_site_fract_z
Y1 Y 0.000 0.000 0.000
Sc1 Sc 0.000 0.000 0.500
Se1 Se 0.250 0.250 0.250
```

**Electronic total energy**: -0.4505 Ry/atom
**Formation energy from raw total energies**: -203.4 kJ/mol of formula units
**Magnetization**: 0.436 μB per atom

***

[9]
A plane-wave DFT calculation with GGA-PBE was carried out for an optimized crystal structure of YScSe2.

Cell and atoms, written as CIF:
```
data_YScSe2
_cell_length_a 3.8537
_cell_length_b 3.8537
_cell_length_c 7.0369
_cell_angle_alpha 90.00
_cell_angle_beta 90.00
_cell_angle_gamma 120.00
_symmetry_space_group_name_H-M 'P -3 m 1'
_symmetry_Int_Tables_number 164
_symmetry_space_group_name_Hall '-P 3 2"'
loop_
_atom_site_label
_atom_site_type_symbol
_atom_site_fract_x
_atom_site_fract_y
_atom_site_fract_z
Y1 Y 0.0000 0.0000 0.0000
Sc1 Sc 0.0000 0.0000 0.5000
Se1 Se 0.3333 0.6667 0.7336
```

**Electronic total energy**: -0.4849 Ry/atom
**Formation energy from raw total energies**: -639.5 kJ/mol of formula units
**Magnetization**: 0.000 μB per atom

***

[10]
A plane-wave DFT calculation with GGA-PBE was carried out for an optimized crystal structure of Y2ScSe.

Cell and atoms, written as CIF:
```
data_Y2ScSe
_cell_length_a 3.589
_cell_length_b 3.589
_cell_length_c 8.042
_cell_angle_alpha 90.00
_cell_angle_beta 90.00
_cell_angle_gamma 90.00
_symmetry_space_group_name_H-M 'P 4/m m m'
_symmetry_Int_Tables_number 123
_symmetry_space_group_name_Hall '-P 4 2'
loop_
_atom_site_label
_atom_site_type_symbol
_atom_site_fract_x
_atom_site_fract_y
_atom_site_fract_z
Y1 Y 0.000 0.000 0.220
Sc1 Sc 0.500 0.500 0.500
Se1 Se 0.500 0.500 0.000
```

**Electronic total energy**: -0.4669 Ry/atom
**Formation energy from raw total energies**: -257.5 kJ/mol of formula units
**Magnetization**: 0.000 μB per atom

***

Look up the electronic total energy of the eighth one. -0.4505 Ry/atom